KGeAs2W: optimized geometry, PBE.

Magnetic moment ... 0.8162 μB/atom
ΔH_f (0 K) ... 774 kJ/mol of formula units
N(E_F) ... 0.7611 states/eV/atom

Cell: 5.054 5.054 5.394 Å, 90.00 90.00 90.00°
Space group P4/mmm (No. 123)
One atom of each set of equivalent atoms:
K: 0.000 0.000 0.000 x1
Ge: 0.000 0.000 0.500 x1
As: 0.000 0.500 0.500 x2
W: 0.500 0.500 0.000 x1

CaThTlGa: optimized geometry, PBE.

Magnetic moment ... 0.0000 μB/atom
ΔH_f (0 K) ... -101 kJ/mol of formula units
N(E_F) ... 0.7803 states/eV/atom

Cell: 7.589 7.589 7.589 Å, 90.00 90.00 90.00°
Space group F-43m (No. 216)
One atom of each set of equivalent atoms:
Ca: 0.000 0.000 0.000 x4
Th: 0.000 0.000 0.500 x4
Tl: 0.250 0.250 0.750 x4
Ga: 0.250 0.250 0.250 x4

SrGaSb: optimized geometry, PBE.

Magnetic moment ... 0.0000 μB/atom
Energy relative to the elements, uncorrected ... -269 meV/atom
Energy relative to the lowest polymorph listed for this composition ... 1.200 eV per formula unit
N(E_F) ... 0.5316 states/eV/atom

Cell: 8.991 12.527 15.003 Å, 90.00 90.00 90.00°
Space group Fddd (No. 70, origin choice 2)
One atom of each set of equivalent atoms:
Sr: 0.125 0.125 0.301 x16
Ga: 0.000 0.000 0.500 x16
Sb: 0.113 0.375 0.375 x16

ZnBP3: optimized geometry, PBE.

Magnetic moment ... 0.0000 μB/atom
ΔH_f (0 K) ... 408 kJ/mol of formula units
Energy relative to the lowest polymorph listed for this composition ... 0.000 eV per formula unit
N(E_F) ... 0.7153 states/eV/atom

Cell: 4.149 4.149 4.149 Å, 90.00 90.00 90.00°
Space group Pm-3m (No. 221)
One atom of each set of equivalent atoms:
Zn: 0.000 0.000 0.000 x1
B: 0.500 0.500 0.500 x1
P: 0.000 0.500 0.500 x3